First-principles (PBE) data for a geometry-optimized NaPdC2O6 structure, as listed in Alexandria via LeMat-Bulk.

## Properties
Density of states at the Fermi level = 6.8 states/eV/f.u.
Total energy = -6.646 eV per atom

The structure in CIF format:
```
data_NaPdC2O6
_chemical_formula_sum 'Na3 Pd3 C6 O18'
_symmetry_space_group_name_H-M 'R -3'
_symmetry_Int_Tables_number 148
_symmetry_space_group_name_Hall '-R 3'
_cell_length_a 4.8600
_cell_length_b 4.8600
_cell_length_c 16.6259
_cell_angle_alpha 90.00
_cell_angle_beta 90.00
_cell_angle_gamma 120.00
loop_
_atom_site_label
_atom_site_type_symbol
_atom_site_fract_x
_atom_site_fract_y
_atom_site_fract_z
Na1 Na 0.0000 0.0000 0.0000
Pd1 Pd 0.0000 0.0000 0.5000
C1 C 0.0000 0.0000 0.2384
O1 O 0.0115 0.2722 0.2402
```

---

First-principles (PBE) data for a geometry-optimized CsNb2TcGe structure, as listed in Alexandria via LeMat-Bulk.

## Properties
Calculated formation energy = 957 kJ/mol of formula units
Density of states at the Fermi level = 6.6 states/eV/f.u.
Total energy = -5.211 eV per atom

The structure in CIF format:
```
data_CsNb2TcGe
_chemical_formula_sum 'Cs1 Nb2 Tc1 Ge1'
_symmetry_space_group_name_H-M 'P 4/m m m'
_symmetry_Int_Tables_number 123
_symmetry_space_group_name_Hall '-P 4 2'
_cell_length_a 4.8460
_cell_length_b 4.8460
_cell_length_c 5.7633
_cell_angle_alpha 90.00
_cell_angle_beta 90.00
_cell_angle_gamma 90.00
loop_
_atom_site_label
_atom_site_type_symbol
_atom_site_fract_x
_atom_site_fract_y
_atom_site_fract_z
Cs1 Cs 0.0000 0.0000 0.0000
Nb1 Nb 0.0000 0.5000 0.5000
Tc1 Tc 0.5000 0.5000 0.0000
Ge1 Ge 0.0000 0.0000 0.5000
```

---

Please write out number 2 again, unchanged.
First-principles (PBE) data for a geometry-optimized CsNb2TcGe structure, as listed in Alexandria via LeMat-Bulk.

## Properties
Calculated formation energy = 957 kJ/mol of formula units
Density of states at the Fermi level = 6.6 states/eV/f.u.
Total energy = -5.211 eV per atom

The structure in CIF format:
```
data_CsNb2TcGe
_chemical_formula_sum 'Cs1 Nb2 Tc1 Ge1'
_symmetry_space_group_name_H-M 'P 4/m m m'
_symmetry_Int_Tables_number 123
_symmetry_space_group_name_Hall '-P 4 2'
_cell_length_a 4.8460
_cell_length_b 4.8460
_cell_length_c 5.7633
_cell_angle_alpha 90.00
_cell_angle_beta 90.00
_cell_angle_gamma 90.00
loop_
_atom_site_label
_atom_site_type_symbol
_atom_site_fract_x
_atom_site_fract_y
_atom_site_fract_z
Cs1 Cs 0.0000 0.0000 0.0000
Nb1 Nb 0.0000 0.5000 0.5000
Tc1 Tc 0.5000 0.5000 0.0000
Ge1 Ge 0.0000 0.0000 0.5000
```